No. 1
Compound: Ba3Li5Cd2
Source: Alexandria via LeMat-Bulk
Functional: PBE
Structure: optimized geometry

Summary:
V ... 663.4 Å³ per cell
ρ ... 3.36 g cm⁻³
DOS(E_F) ... 8.102 states/eV/f.u.
Calculated total energy ... -1.8327 eV per atom
Calculated formation energy ... -0.116 eV/atom

abc: 11.8521 11.8521 4.7226
angles: 90.00 90.00 90.00
Space group P4/mbm (No. 127)
Symmetry-distinct sites (fractional):
Ba 0.0000 0.0000 0.0000 x2
Ba 0.1813 0.3187 0.0000 x4
Li 0.0000 0.5000 0.5000 x2
Li 0.0684 0.7517 0.5000 x8
Cd 0.1073 0.6073 0.0000 x4



No. 2
Compound: ReAuN2
Source: Alexandria via LeMat-Bulk
Functional: PBE
Structure: optimized geometry

Summary:
E_form (uncorrected) ... 1.80 eV/atom
V ... 175.3 Å³ per cell
ρ ... 15.58 g cm⁻³
DOS(E_F) ... 3.895 states/eV/f.u.
Offset from the most stable computed form ... 1468.2 meV per atom
Calculated total energy ... -6.2983 eV per atom

abc: 5.5966 5.5966 5.5966
angles: 90.00 90.00 90.00
Space group Fm-3m (No. 225)
Symmetry-distinct sites (fractional):
Re 0.0000 0.0000 0.0000 x4
Au 0.0000 0.0000 0.5000 x4
N 0.2500 0.2500 0.2500 x8



No. 3
Compound: NbBiIr2
Source: Alexandria via LeMat-Bulk
Functional: PBE
Structure: optimized geometry

Summary:
V ... 421.2 Å³ per cell
ρ ... 10.82 g cm⁻³
DOS(E_F) ... 2.429 states/eV/f.u.
Calculated total energy ... -7.3806 eV per atom
Calculated formation energy ... 0.538 eV/atom

abc: 6.0252 6.0252 11.6024
angles: 90.00 90.00 90.00
Space group I-42d (No. 122)
Symmetry-distinct sites (fractional):
Nb 0.0000 0.0000 0.0000 x4
Bi 0.0000 0.0000 0.5000 x4
Ir 0.2252 0.2500 0.1250 x8



No. 4
Compound: Hg2RuPb
Source: Alexandria via LeMat-Bulk
Functional: PBE
Structure: optimized geometry

Summary:
V ... 85.2 Å³ per cell
ρ ... 13.83 g cm⁻³
DOS(E_F) ... 4.097 states/eV/f.u.
Calculated total energy ... -2.8390 eV per atom
Calculated formation energy ... 0.558 eV/atom

abc: 4.0972 4.0972 5.0731
angles: 90.00 90.00 90.00
Space group P4/mmm (No. 123)
Symmetry-distinct sites (fractional):
Hg 0.0000 0.5000 0.0000 x2
Ru 0.0000 0.0000 0.5000 x1
Pb 0.5000 0.5000 0.5000 x1



No. 5
Compound: ErTm2Sc6
Source: Alexandria via LeMat-Bulk
Functional: PBE
Structure: optimized geometry

Summary:
V ... 239.9 Å³ per cell
ρ ... 5.36 g cm⁻³
DOS(E_F) ... 15.328 states/eV/f.u.
Offset from the most stable computed form ... 3.2 meV per atom
Calculated total energy ... -5.6566 eV per atom
Calculated formation energy ... 0.065 eV/atom

abc: 3.3797 3.3797 24.2475
angles: 90.00 90.00 120.00
Space group P-6m2 (No. 187)
Symmetry-distinct sites (fractional):
Er 0.0000 0.0000 0.0000 x1
Tm 0.3333 0.6667 0.3277 x2
Sc 0.0000 0.0000 0.2161 x2
Sc 0.0000 0.0000 0.4377 x2
Sc 0.3333 0.6667 0.1122 x2



No. 6
Compound: Re2HgSe
Source: Alexandria via LeMat-Bulk
Functional: PBE
Structure: optimized geometry

Summary:
E_form (uncorrected) ... 0.33 eV/atom
V ... 232.4 Å³ per cell
ρ ... 13.97 g cm⁻³
DOS(E_F) ... 2.015 states/eV/f.u.
Offset from the most stable computed form ... 2.1 meV per atom
Calculated total energy ... -6.8430 eV per atom

abc: 2.9321 2.9321 31.2141
angles: 90.00 90.00 120.00
Space group R3m (No. 160, hexagonal axes)
Symmetry-distinct sites (fractional):
Re 0.0000 0.0000 0.0000 x3
Re 0.0000 0.0000 0.2673 x3
Hg 0.0000 0.0000 0.7498 x3
Se 0.0000 0.0000 0.5381 x3



No. 7
Compound: SmPt4Pb
Source: Alexandria via LeMat-Bulk
Functional: PBE
Structure: optimized geometry

Summary:
V ... 464.9 Å³ per cell
ρ ... 16.26 g cm⁻³
DOS(E_F) ... 3.777 states/eV/f.u.
Calculated total energy ... -6.1412 eV per atom
Calculated formation energy ... -0.709 eV/atom

abc: 7.7465 7.7465 7.7465
angles: 90.00 90.00 90.00
Space group F-43m (No. 216)
Symmetry-distinct sites (fractional):
Sm 0.0000 0.0000 0.0000 x4
Pt 0.1251 0.1251 0.3749 x16
Pb 0.2500 0.2500 0.7500 x4



No. 8
Compound: HoZnH
Source: Alexandria via LeMat-Bulk
Functional: PBE
Structure: optimized geometry

Summary:
V ... 104.9 Å³ per cell
ρ ... 7.32 g cm⁻³
DOS(E_F) ... 2.136 states/eV/f.u.
Offset from the most stable computed form ... 467.9 meV per atom
Calculated total energy ... -3.0735 eV per atom

abc: 3.1747 3.1747 10.4072
angles: 90.00 90.00 90.00
Space group I4mm (No. 107)
Symmetry-distinct sites (fractional):
Ho 0.0000 0.0000 0.0000 x2
Zn 0.0000 0.0000 0.2971 x2
H 0.0000 0.0000 0.5507 x2



Copy entry 2 word for word.
Compound: ReAuN2
Source: Alexandria via LeMat-Bulk
Functional: PBE
Structure: optimized geometry

Summary:
E_form (uncorrected) ... 1.80 eV/atom
V ... 175.3 Å³ per cell
ρ ... 15.58 g cm⁻³
DOS(E_F) ... 3.895 states/eV/f.u.
Offset from the most stable computed form ... 1468.2 meV per atom
Calculated total energy ... -6.2983 eV per atom

abc: 5.5966 5.5966 5.5966
angles: 90.00 90.00 90.00
Space group Fm-3m (No. 225)
Symmetry-distinct sites (fractional):
Re 0.0000 0.0000 0.0000 x4
Au 0.0000 0.0000 0.5000 x4
N 0.2500 0.2500 0.2500 x8



> Which value of V does entry 7 give?

464.9 Å³ per cell



> Which of these has the lowest DOS(E_F)?

Re2HgSe



> V of number 3 (NbBiIr2)?

421.2 Å³ per cell